Entry 1:
VASP calculation (PBE) on Si2RuBr after structural relaxation.

Lattice parameters (Å, degrees): 3.664 3.664 4.948 90.00 90.00 90.00
Element x y z (fractional)
Si1 0.000 0.500 0.000
Si2 0.500 0.000 0.000
Ru1 0.000 0.000 0.500
Br1 0.500 0.500 0.500

## Properties
- Raw formation energy: 0.8189 eV/atom
- Space group: P4/mmm (123)
- Distance to the lowest polymorph of the same formula: 791 meV/atom
- Calculated density: 5.93 Mg/m³
- DFT total energy: -4.630 eV per atom

=====

Entry 2:
VASP calculation (PBE) on La6In5Hg after structural relaxation.

Lattice parameters (Å, degrees): 5.591 7.896 8.830 90.00 108.25 90.00
Element x y z (fractional)
La1 0.000 0.248 0.000
La2 0.000 0.752 0.000
La3 0.334 0.249 0.668
La4 0.334 0.751 0.668
La5 0.666 0.249 0.332
La6 0.666 0.751 0.332
In1 0.166 0.000 0.332
In2 0.167 0.500 0.334
In3 0.500 0.500 0.000
In4 0.833 0.500 0.666
In5 0.834 0.000 0.668
Hg1 0.500 0.000 0.000

## Properties
- Space group: P2/m (10)
- Calculated density: 7.21 Mg/m³
- DFT total energy: -4.139 eV per atom
- Formation energy from the elements: -49.1 kJ/mol of atoms